# Li2Ti3VO8

Crystalline Li2Ti3VO8 at its relaxed geometry (PBE with a Hubbard U, the Alexandria database).

Cell and atoms, written as extended XYZ:
```
14
Lattice="5.189 -2.982 0.000 5.189 2.982 0.000 -3.428 0.000 4.991" Properties=species:S:1:pos:R:3 pbc="T T T"
Li 0.000 0.000 0.000
Li 5.189 0.000 0.000
Ti -1.714 0.000 2.496
Ti 0.881 1.491 2.496
Ti 0.881 -1.491 2.496
V 3.475 0.000 2.496
O 2.539 1.569 3.570
O 0.025 0.000 3.539
O 1.618 0.000 1.468
O 4.412 1.569 1.421
O 2.539 -1.569 3.570
O 5.332 0.000 3.523
O 6.926 0.000 1.452
O 4.412 -1.569 1.421
```

Values from the calculation:
Energy above the lowest structure with this stoichiometry (eV per formula unit): 1.283
SG: C2/m, No. 12
Volume (Å³/cell): 154
Raw total energy (hartree per atom): -0.292